! PBE+U TbTl2V3F12, optimized geometry; values from VASP
! Calculated total energy = -105.2 eV/cell
! Total moment = 8.000 μB per cell
! Density = 4.80 g cm⁻³
&SYSTEM
  ibrav = 0, nat = 18, ntyp = 4
/
ATOMIC_SPECIES
Tb 158.93 Tb.upf
Tl 204.38 Tl.upf
V 50.94 V.upf
F 19.00 F.upf
CELL_PARAMETERS angstrom
7.857 0.160 0.113
4.019 6.753 0.113
4.019 2.339 6.336
ATOMIC_POSITIONS angstrom
Tb 0.000 0.000 0.000
Tl 9.412 5.479 3.886
Tl 6.483 3.774 2.677
V 3.929 0.080 0.057
V 2.010 3.377 0.057
V 2.010 1.170 3.168
F 7.425 4.322 5.836
F 12.343 7.185 2.356
F 10.094 8.462 6.002
F 9.698 3.031 2.150
F 12.343 4.599 6.002
F 7.425 6.936 2.150
F 8.471 4.931 0.727
F 3.552 2.068 4.207
F 5.801 0.791 0.561
F 6.197 6.222 4.413
F 3.552 4.654 0.561
F 8.471 2.316 4.413